(1)
Below is KZnSbI2 after structural relaxation, with properties calculated at the PBE level.

Properties
Its distance to the lowest polymorph of the same formula is 0.700 eV/atom. As for the calculated density: 2.536 g cm⁻³. As for the uncorrected energy: -1.54 eV per atom.

a = 6.546 Å, b = 6.546 Å, c = 7.337 Å
α = 90.00°, β = 90.00°, γ = 90.00°
Fractional positions:
K (0.000, 0.000, 0.000)
I (0.000, 0.500, 0.000)
I (0.500, 0.000, 0.000)
Zn (0.500, 0.500, 0.500)
Sb (0.000, 0.000, 0.500)

***

(2)
Below is RbVP2Cl after structural relaxation, with properties calculated at the PBE level.

Properties
Its distance to the lowest polymorph of the same formula is 2.115 eV/atom. As for the calculated density: 2.310 g cm⁻³. As for the uncorrected energy: -2.90 eV per atom.

a = 5.478 Å, b = 5.478 Å, c = 5.603 Å
α = 90.00°, β = 90.00°, γ = 90.00°
Fractional positions:
Rb (0.000, 0.000, 0.000)
P (0.000, 0.500, 0.000)
P (0.500, 0.000, 0.000)
V (0.500, 0.500, 0.500)
Cl (0.000, 0.000, 0.500)

***

(3)
Below is Au2IBr8 after structural relaxation, with properties calculated at the PBE level.

Properties
Its distance to the lowest polymorph of the same formula is 0.000 eV/atom. As for the calculated density: 4.222 g cm⁻³. As for the uncorrected energy: -1.96 eV per atom.

a = 8.775 Å, b = 6.739 Å, c = 10.323 Å
α = 97.59°, β = 90.00°, γ = 130.62°
Fractional positions:
Br (0.374, 0.747, 0.422)
Br (0.332, 0.237, 0.173)
Br (0.906, 0.237, 0.173)
Br (0.668, 0.763, 0.827)
Br (0.626, 0.253, 0.578)
Br (0.869, 0.738, 0.368)
Br (0.094, 0.763, 0.827)
Br (0.131, 0.262, 0.632)
I (0.000, 0.000, 0.000)
Au (0.875, 0.750, 0.619)
Au (0.125, 0.250, 0.381)

***

(4)
Below is SrTcO3 after structural relaxation, with properties calculated at the PBE level.

Properties
As for the calculated density: 4.526 g cm⁻³. As for the uncorrected energy: -5.10 eV per atom.

a = 4.409 Å, b = 4.409 Å, c = 4.409 Å
α = 90.00°, β = 90.00°, γ = 90.00°
Fractional positions:
Tc (0.500, 0.500, 0.500)
O (0.000, 0.500, 0.000)
O (0.000, 0.000, 0.500)
O (0.500, 0.000, 0.000)
Sr (0.000, 0.000, 0.000)

***

(5)
Below is Tb2Zn15Co2 after structural relaxation, with properties calculated at the PBE level.

Properties
For the formation enthalpy at 0 K, the calculation gives -3.5 eV/f.u. As for the calculated density: 7.923 g cm⁻³. As for the uncorrected energy: -2.42 eV per atom.

a = 6.723 Å, b = 6.723 Å, c = 6.723 Å
α = 82.64°, β = 82.64°, γ = 82.64°
Fractional positions:
Zn (0.715, 0.000, 0.285)
Zn (0.000, 0.285, 0.715)
Zn (0.000, 0.500, 0.000)
Zn (0.000, 0.000, 0.500)
Zn (0.500, 0.000, 0.000)
Zn (0.715, 0.285, 0.000)
Zn (0.151, 0.650, 0.650)
Zn (0.000, 0.715, 0.285)
Zn (0.650, 0.650, 0.151)
Zn (0.285, 0.715, 0.000)
Zn (0.350, 0.849, 0.350)
Zn (0.285, 0.000, 0.715)
Zn (0.350, 0.350, 0.849)
Zn (0.849, 0.350, 0.350)
Zn (0.650, 0.151, 0.650)
Tb (0.333, 0.333, 0.333)
Tb (0.667, 0.667, 0.667)
Co (0.907, 0.907, 0.907)
Co (0.093, 0.093, 0.093)

***

(6)
Below is NaTlV2 after structural relaxation, with properties calculated at the PBE level.

Properties
Its distance to the lowest polymorph of the same formula is 0.263 eV/atom. For the formation enthalpy at 0 K, the calculation gives 4.6 eV/f.u. As for the calculated density: 6.298 g cm⁻³. As for the uncorrected energy: -4.33 eV per atom.

a = 7.881 Å, b = 7.881 Å, c = 6.235 Å
α = 50.80°, β = 50.80°, γ = 90.00°
Fractional positions:
Na (0.500, 0.500, 0.000)
Na (0.250, 0.750, 0.500)
V (0.375, 0.354, 0.750)
V (0.646, 0.125, 0.250)
V (0.104, 0.625, 0.250)
V (0.875, 0.896, 0.750)
Tl (0.750, 0.250, 0.500)
Tl (0.000, 0.000, 0.000)

***

(7)
Below is KNbCdFeBr after structural relaxation, with properties calculated at the PBE level.

Properties
Its distance to the lowest polymorph of the same formula is 0.077 eV/atom. As for the calculated density: 5.225 g cm⁻³. As for the uncorrected energy: -4.44 eV per atom.

a = 3.444 Å, b = 5.068 Å, c = 7.124 Å
α = 90.00°, β = 103.72°, γ = 90.00°
Fractional positions:
Br (0.262, 0.500, 0.411)
Cd (0.001, 0.000, 0.874)
K (0.721, 0.000, 0.326)
Nb (0.472, 0.500, 0.813)
Fe (0.084, 0.500, 0.041)

***

(8)
Below is CsRbPtBr6 after structural relaxation, with properties calculated at the PBE level.

Properties
As for the calculated density: 3.649 g cm⁻³. As for the uncorrected energy: -2.92 eV per atom.

a = 8.106 Å, b = 8.109 Å, c = 7.138 Å
α = 90.01°, β = 90.00°, γ = 59.99°
Fractional positions:
Br (0.082, 0.585, 0.706)
Br (0.333, 0.083, 0.706)
Br (0.584, 0.082, 0.294)
Br (0.585, 0.333, 0.706)
Br (0.082, 0.333, 0.294)
Br (0.333, 0.584, 0.293)
Pt (0.333, 0.333, 0.500)
Rb (0.667, 0.667, 0.500)
Cs (0.000, 0.000, 0.000)